No. 1
# Tb2ErNi2, optimized geometry, DFT GGA-PBE
# E_tot, eV/f.u.: -27.03
# Distance to the lowest polymorph of the same formula, meV/atom: 0
data_Tb2ErNi2
_chemical_formula_sum 'Tb8 Er4 Ni8'
_space_group_name_H-M_alt 'C 1 2/c 1'
_space_group_IT_number 15
_cell_length_a 11.332
_cell_length_b 5.765
_cell_length_c 7.115
_cell_angle_alpha 90.00
_cell_angle_beta 100.92
_cell_angle_gamma 90.00
loop_
_space_group_symop_operation_xyz
'x,y,z'
'-x,-y,-z'
'-x,y,-z+1/2'
'x,-y,z+1/2'
'x+1/2,y+1/2,z'
'-x+1/2,-y+1/2,-z'
'-x+1/2,y+1/2,-z+1/2'
'x+1/2,-y+1/2,z+1/2'
loop_
_atom_site_label
_atom_site_type_symbol
_atom_site_fract_x
_atom_site_fract_y
_atom_site_fract_z
Tb1 Tb 0.159 0.109 0.154
Er1 Er 0.000 0.410 0.750
Ni1 Ni 0.161 0.363 0.511



No. 2
# NiBP, optimized geometry, DFT GGA-PBE
# E_tot, eV/f.u.: -17.61
# Distance to the lowest polymorph of the same formula, meV/atom: 249
data_NiBP
_chemical_formula_sum 'Ni2 B2 P2'
_space_group_name_H-M_alt 'A m m 2'
_space_group_IT_number 38
_cell_length_a 3.035
_cell_length_b 2.909
_cell_length_c 8.018
_cell_angle_alpha 90.00
_cell_angle_beta 90.00
_cell_angle_gamma 90.00
loop_
_space_group_symop_operation_xyz
'x,y,z'
'-x,-y,z'
'-x,y,z'
'x,-y,z'
'x,y+1/2,z+1/2'
'-x,-y+1/2,z+1/2'
'-x,y+1/2,z+1/2'
'x,-y+1/2,z+1/2'
loop_
_atom_site_label
_atom_site_type_symbol
_atom_site_fract_x
_atom_site_fract_y
_atom_site_fract_z
Ni1 Ni 0.000 0.000 0.000
B1 B 0.500 0.000 0.424
P1 P 0.000 0.000 0.277



No. 3
# Pr2CoPd, optimized geometry, DFT GGA-PBE
# E_tot, eV/f.u.: -23.13
data_Pr2CoPd
_chemical_formula_sum 'Pr2 Co1 Pd1'
_space_group_name_H-M_alt 'P 4/m m m'
_space_group_IT_number 123
_space_group_name_Hall '-P 4 2'
_cell_length_a 3.554
_cell_length_b 3.554
_cell_length_c 7.239
_cell_angle_alpha 90.00
_cell_angle_beta 90.00
_cell_angle_gamma 90.00
loop_
_atom_site_label
_atom_site_type_symbol
_atom_site_fract_x
_atom_site_fract_y
_atom_site_fract_z
Pr1 Pr 0.000 0.000 0.239
Co1 Co 0.500 0.500 0.000
Pd1 Pd 0.500 0.500 0.500



No. 4
# SrPm2Al, optimized geometry, DFT GGA-PBE
# E_tot, eV/f.u.: -15.27
# Distance to the lowest polymorph of the same formula, meV/atom: 0
data_SrPm2Al
_chemical_formula_sum 'Sr1 Pm2 Al1'
_space_group_name_H-M_alt 'P 4/m m m'
_space_group_IT_number 123
_space_group_name_Hall '-P 4 2'
_cell_length_a 3.763
_cell_length_b 3.763
_cell_length_c 9.676
_cell_angle_alpha 90.00
_cell_angle_beta 90.00
_cell_angle_gamma 90.00
loop_
_atom_site_label
_atom_site_type_symbol
_atom_site_fract_x
_atom_site_fract_y
_atom_site_fract_z
Sr1 Sr 0.000 0.000 0.000
Pm1 Pm 0.500 0.500 0.318
Al1 Al 0.000 0.000 0.500



No. 5
# YZr2Re, optimized geometry, DFT GGA-PBE
# E_tot, eV/f.u.: -34.97
# Distance to the lowest polymorph of the same formula, meV/atom: 289
data_YZr2Re
_chemical_formula_sum 'Y1 Zr2 Re1'
_space_group_name_H-M_alt 'P m m m'
_space_group_IT_number 47
_cell_length_a 3.508
_cell_length_b 4.897
_cell_length_c 4.958
_cell_angle_alpha 90.00
_cell_angle_beta 90.00
_cell_angle_gamma 90.00
loop_
_space_group_symop_operation_xyz
'x,y,z'
'-x,-y,-z'
'-x,-y,z'
'x,y,-z'
'x,-y,-z'
'-x,y,z'
'-x,y,-z'
'x,-y,z'
loop_
_atom_site_label
_atom_site_type_symbol
_atom_site_fract_x
_atom_site_fract_y
_atom_site_fract_z
Y1 Y 0.000 0.000 0.000
Zr1 Zr 0.000 0.500 0.500
Zr2 Zr 0.500 0.500 0.000
Re1 Re 0.500 0.000 0.500



No. 6
# Sc2InTe, optimized geometry, DFT GGA-PBE
# E_tot, eV/f.u.: -20.85
# Distance to the lowest polymorph of the same formula, meV/atom: 110
# Raw formation energy, eV per atom: -0.577
data_Sc2InTe
_chemical_formula_sum 'Sc2 In1 Te1'
_space_group_name_H-M_alt 'P 1 2/m 1'
_space_group_IT_number 10
_cell_length_a 3.664
_cell_length_b 3.698
_cell_length_c 6.996
_cell_angle_alpha 90.00
_cell_angle_beta 96.09
_cell_angle_gamma 90.00
loop_
_space_group_symop_operation_xyz
'x,y,z'
'-x,-y,-z'
'-x,y,-z'
'x,-y,z'
loop_
_atom_site_label
_atom_site_type_symbol
_atom_site_fract_x
_atom_site_fract_y
_atom_site_fract_z
Sc1 Sc 0.018 0.000 0.256
In1 In 0.500 0.500 0.000
Te1 Te 0.500 0.500 0.500



No. 7
# WAuIN2, optimized geometry, DFT GGA-PBE
# E_tot, eV/f.u.: -31.32
# Distance to the lowest polymorph of the same formula, meV/atom: 0
# Raw formation energy, eV per atom: 0.621
data_WAuIN2
_chemical_formula_sum 'W1 Au1 I1 N2'
_space_group_name_H-M_alt 'P 4/m m m'
_space_group_IT_number 123
_space_group_name_Hall '-P 4 2'
_cell_length_a 3.952
_cell_length_b 3.952
_cell_length_c 6.008
_cell_angle_alpha 90.00
_cell_angle_beta 90.00
_cell_angle_gamma 90.00
loop_
_atom_site_label
_atom_site_type_symbol
_atom_site_fract_x
_atom_site_fract_y
_atom_site_fract_z
W1 W 0.000 0.000 0.000
Au1 Au 0.500 0.500 0.500
I1 I 0.000 0.000 0.500
N1 N 0.000 0.500 0.000



No. 8
# YEr2ThSe4, optimized geometry, DFT GGA-PBE
# E_tot, eV/f.u.: -50.22
# Raw formation energy, eV per atom: -1.659
data_YEr2ThSe4
_chemical_formula_sum 'Y1 Er2 Th1 Se4'
_space_group_name_H-M_alt 'P 1 2/m 1'
_space_group_IT_number 10
_cell_length_a 7.091
_cell_length_b 4.040
_cell_length_c 7.165
_cell_angle_alpha 90.00
_cell_angle_beta 108.87
_cell_angle_gamma 90.00
loop_
_space_group_symop_operation_xyz
'x,y,z'
'-x,-y,-z'
'-x,y,-z'
'x,-y,z'
loop_
_atom_site_label
_atom_site_type_symbol
_atom_site_fract_x
_atom_site_fract_y
_atom_site_fract_z
Y1 Y 0.000 0.000 0.000
Er1 Er 0.000 0.500 0.500
Er2 Er 0.500 0.000 0.500
Th1 Th 0.500 0.500 0.000
Se1 Se 0.240 0.000 0.736
Se2 Se 0.248 0.500 0.259



No. 9
# SrIn2Br, optimized geometry, DFT GGA-PBE
# E_tot, eV/f.u.: -10.91
# Distance to the lowest polymorph of the same formula, meV/atom: 178
# Raw formation energy, eV per atom: -0.519
data_SrIn2Br
_chemical_formula_sum 'Sr4 In8 Br4'
_space_group_name_H-M_alt 'F -4 3 m'
_space_group_IT_number 216
_space_group_name_Hall 'F -4 2 3'
_cell_length_a 7.829
_cell_length_b 7.829
_cell_length_c 7.829
_cell_angle_alpha 90.00
_cell_angle_beta 90.00
_cell_angle_gamma 90.00
loop_
_atom_site_label
_atom_site_type_symbol
_atom_site_fract_x
_atom_site_fract_y
_atom_site_fract_z
Sr1 Sr 0.000 0.000 0.000
In1 In 0.000 0.000 0.500
In2 In 0.250 0.250 0.750
Br1 Br 0.250 0.250 0.250



No. 10
# GeBr3Cl, optimized geometry, DFT GGA-PBE
# E_tot, eV/f.u.: -14.90
# Distance to the lowest polymorph of the same formula, meV/atom: 0
# Raw formation energy, eV per atom: -0.684
data_GeBr3Cl
_chemical_formula_sum 'Ge2 Br6 Cl2'
_space_group_name_H-M_alt 'P 1'
_space_group_IT_number 1
_cell_length_a 6.743
_cell_length_b 6.828
_cell_length_c 9.826
_cell_angle_alpha 90.17
_cell_angle_beta 90.09
_cell_angle_gamma 90.16
loop_
_space_group_symop_operation_xyz
'x,y,z'
loop_
_atom_site_label
_atom_site_type_symbol
_atom_site_fract_x
_atom_site_fract_y
_atom_site_fract_z
Ge1 Ge 0.000 0.000 0.000
Ge2 Ge 0.329 0.506 0.501
Br1 Br 0.402 0.176 0.499
Br2 Br 0.459 0.652 0.310
Br3 Br 0.460 0.650 0.693
Br4 Br 0.867 0.146 0.190
Br5 Br 0.871 0.141 0.807
Br6 Br 0.928 0.670 0.001
Cl1 Cl 0.013 0.544 0.501
Cl2 Cl 0.316 0.041 0.002



No. 11
# NaTbGd, optimized geometry, DFT GGA-PBE
# E_tot, eV/f.u.: -19.59
# Distance to the lowest polymorph of the same formula, meV/atom: 17
data_NaTbGd
_chemical_formula_sum 'Na2 Tb2 Gd2'
_space_group_name_H-M_alt 'I 4 m m'
_space_group_IT_number 107
_space_group_name_Hall 'I 4 -2'
_cell_length_a 3.531
_cell_length_b 3.531
_cell_length_c 16.188
_cell_angle_alpha 90.00
_cell_angle_beta 90.00
_cell_angle_gamma 90.00
loop_
_atom_site_label
_atom_site_type_symbol
_atom_site_fract_x
_atom_site_fract_y
_atom_site_fract_z
Na1 Na 0.000 0.000 0.000
Tb1 Tb 0.000 0.000 0.326
Gd1 Gd 0.000 0.000 0.677



No. 12
# SrZr2Tl, optimized geometry, DFT GGA-PBE
# E_tot, eV/f.u.: -20.12
# Distance to the lowest polymorph of the same formula, meV/atom: 205
data_SrZr2Tl
_chemical_formula_sum 'Sr1 Zr2 Tl1'
_space_group_name_H-M_alt 'P 1 2/m 1'
_space_group_IT_number 10
_cell_length_a 3.345
_cell_length_b 5.581
_cell_length_c 5.942
_cell_angle_alpha 90.00
_cell_angle_beta 96.66
_cell_angle_gamma 90.00
loop_
_space_group_symop_operation_xyz
'x,y,z'
'-x,-y,-z'
'-x,y,-z'
'x,-y,z'
loop_
_atom_site_label
_atom_site_type_symbol
_atom_site_fract_x
_atom_site_fract_y
_atom_site_fract_z
Sr1 Sr 0.000 0.000 0.000
Zr1 Zr 0.312 0.500 0.717
Tl1 Tl 0.500 0.000 0.500



No. 13
# Sc2NbFe, optimized geometry, DFT GGA-PBE
# E_tot, eV/f.u.: -29.50
# Distance to the lowest polymorph of the same formula, meV/atom: 24
data_Sc2NbFe
_chemical_formula_sum 'Sc8 Nb4 Fe4'
_space_group_name_H-M_alt 'I -4 2 d'
_space_group_IT_number 122
_space_group_name_Hall 'I -4 2bw'
_cell_length_a 7.429
_cell_length_b 7.429
_cell_length_c 5.435
_cell_angle_alpha 90.00
_cell_angle_beta 90.00
_cell_angle_gamma 90.00
loop_
_atom_site_label
_atom_site_type_symbol
_atom_site_fract_x
_atom_site_fract_y
_atom_site_fract_z
Sc1 Sc 0.194 0.750 0.125
Nb1 Nb 0.000 0.000 0.500
Fe1 Fe 0.000 0.000 0.000



No. 14
# PaCu4Si2, optimized geometry, DFT GGA-PBE
# E_tot, eV/f.u.: -38.90
# Raw formation energy, eV per atom: -0.311
data_PaCu4Si2
_chemical_formula_sum 'Pa2 Cu8 Si4'
_space_group_name_H-M_alt 'C m m m'
_space_group_IT_number 65
_space_group_name_Hall '-C 2 2'
_cell_length_a 3.989
_cell_length_b 13.017
_cell_length_c 3.982
_cell_angle_alpha 90.00
_cell_angle_beta 90.00
_cell_angle_gamma 90.00
loop_
_atom_site_label
_atom_site_type_symbol
_atom_site_fract_x
_atom_site_fract_y
_atom_site_fract_z
Pa1 Pa 0.000 0.000 0.000
Cu1 Cu 0.000 0.187 0.500
Cu2 Cu 0.000 0.313 0.000
Si1 Si 0.000 0.410 0.500



No. 15
# Tb5Er4Sc, optimized geometry, DFT GGA-PBE
# E_tot, eV/f.u.: -45.30
# Distance to the lowest polymorph of the same formula, meV/atom: 229
data_Tb5Er4Sc
_chemical_formula_sum 'Tb10 Er8 Sc2'
_space_group_name_H-M_alt 'I 4 m m'
_space_group_IT_number 107
_space_group_name_Hall 'I 4 -2'
_cell_length_a 10.508
_cell_length_b 10.508
_cell_length_c 5.738
_cell_angle_alpha 90.00
_cell_angle_beta 90.00
_cell_angle_gamma 90.00
loop_
_atom_site_label
_atom_site_type_symbol
_atom_site_fract_x
_atom_site_fract_y
_atom_site_fract_z
Tb1 Tb 0.000 0.000 0.000
Tb2 Tb 0.187 0.187 0.285
Er1 Er 0.000 0.324 0.774
Sc1 Sc 0.000 0.000 0.533



No. 16
# PaNO, optimized geometry, DFT GGA-PBE
# E_tot, eV/f.u.: -31.05
# Distance to the lowest polymorph of the same formula, meV/atom: 0
# Raw formation energy, eV per atom: -2.757
data_PaNO
_chemical_formula_sum 'Pa4 N4 O4'
_space_group_name_H-M_alt 'P n m a'
_space_group_IT_number 62
_cell_length_a 7.651
_cell_length_b 3.831
_cell_length_c 5.434
_cell_angle_alpha 90.00
_cell_angle_beta 90.00
_cell_angle_gamma 90.00
loop_
_space_group_symop_operation_xyz
'x,y,z'
'-x,-y,-z'
'-x+1/2,-y,z+1/2'
'x+1/2,y,-z+1/2'
'x+1/2,-y+1/2,-z+1/2'
'-x+1/2,y+1/2,z+1/2'
'-x,y+1/2,-z'
'x,-y+1/2,z'
loop_
_atom_site_label
_atom_site_type_symbol
_atom_site_fract_x
_atom_site_fract_y
_atom_site_fract_z
Pa1 Pa 0.126 0.250 0.236
N1 N 0.129 0.750 0.987
O1 O 0.119 0.750 0.487



No. 17
# Th6PdC3Se2, optimized geometry, DFT GGA-PBE
# E_tot, eV/f.u.: -94.71
# Raw formation energy, eV per atom: -0.863
data_Th6PdC3Se2
_chemical_formula_sum 'Th12 Pd2 C6 Se4'
_space_group_name_H-M_alt 'C 1 2/m 1'
_space_group_IT_number 12
_cell_length_a 17.883
_cell_length_b 3.849
_cell_length_c 8.315
_cell_angle_alpha 90.00
_cell_angle_beta 108.42
_cell_angle_gamma 90.00
loop_
_space_group_symop_operation_xyz
'x,y,z'
'-x,-y,-z'
'-x,y,-z'
'x,-y,z'
'x+1/2,y+1/2,z'
'-x+1/2,-y+1/2,-z'
'-x+1/2,y+1/2,-z'
'x+1/2,-y+1/2,z'
loop_
_atom_site_label
_atom_site_type_symbol
_atom_site_fract_x
_atom_site_fract_y
_atom_site_fract_z
Th1 Th 0.012 0.000 0.225
Th2 Th 0.157 0.500 0.109
Th3 Th 0.177 0.500 0.554
Pd1 Pd 0.000 0.500 0.500
C1 C 0.000 0.500 0.000
C2 C 0.167 0.000 0.333
Se1 Se 0.166 0.000 0.832



No. 18
# HgPt2Au2, optimized geometry, DFT GGA-PBE
# E_tot, eV/f.u.: -17.83
# Distance to the lowest polymorph of the same formula, meV/atom: 117
data_HgPt2Au2
_chemical_formula_sum 'Hg2 Pt4 Au4'
_space_group_name_H-M_alt 'I 4/m m m'
_space_group_IT_number 139
_space_group_name_Hall '-I 4 2'
_cell_length_a 3.753
_cell_length_b 3.753
_cell_length_c 13.919
_cell_angle_alpha 90.00
_cell_angle_beta 90.00
_cell_angle_gamma 90.00
loop_
_atom_site_label
_atom_site_type_symbol
_atom_site_fract_x
_atom_site_fract_y
_atom_site_fract_z
Hg1 Hg 0.000 0.000 0.000
Pt1 Pt 0.000 0.500 0.250
Au1 Au 0.000 0.000 0.401



No. 19
# Tl12GaSn6, optimized geometry, DFT GGA-PBE
# E_tot, eV/f.u.: -54.77
data_Tl12GaSn6
_chemical_formula_sum 'Tl36 Ga3 Sn18'
_space_group_name_H-M_alt 'R -3'
_space_group_IT_number 148
_space_group_name_Hall '-R 3'
_cell_length_a 11.6749
_cell_length_b 11.6749
_cell_length_c 14.8790
_cell_angle_alpha 90.00
_cell_angle_beta 90.00
_cell_angle_gamma 120.00
loop_
_atom_site_label
_atom_site_type_symbol
_atom_site_fract_x
_atom_site_fract_y
_atom_site_fract_z
Tl1 Tl 0.0382 0.8551 0.3116
Tl2 Tl 0.0641 0.2253 0.9161
Ga1 Ga 0.0000 0.0000 0.5000
Sn1 Sn 0.0479 0.6001 0.2034